# 1
InNi5 | PBE | optimized geometry

a = 6.7844 Å, b = 6.7844 Å, c = 4.1454 Å
α = 90.00°, β = 90.00°, γ = 156.86°
Last column: nearest neighbours and their distance in Å.
Element x y z (fractional)
Ni 0.4362 0.5638 0.5000  6 Ni 2.47-2.72, 4 In 2.61
Ni 0.3218 0.6782 0.0000  8 Ni 2.42-2.57, 2 In 2.71
Ni 0.7808 0.2192 0.5000  12 Ni 2.47-2.72
In 0.9981 0.0019 0.0000  10 Ni 2.61-2.71, 2 In 2.72
Ni 0.6710 0.3290 0.0000  8 Ni 2.42-2.55, 2 In 2.67
Ni 0.1256 0.8744 0.5000  8 Ni 2.47-2.72, 2 In 2.68

- Energy of formation from the pure elements: 71 meV per atom
- Crystal system: orthorhombic
- Space-group type: Amm2

# 2
NbPSN2 | PBE | optimized geometry

a = 3.5924 Å, b = 3.5924 Å, c = 4.4244 Å
α = 90.00°, β = 90.00°, γ = 90.00°
Last column: nearest neighbours and their distance in Å.
Element x y z (fractional)
Nb 0.5000 0.5000 0.5000  4 S 2.54
P 0.0000 0.0000 0.0000  4 N 1.80
N 0.0000 0.5000 0.0000  2 P 1.80
N 0.5000 0.0000 0.0000  2 P 1.80
S 0.0000 0.0000 0.5000  2 P 2.21

- Formation energy from raw total energies: 0.71 eV per atom
- Crystal system: tetragonal
- Space-group type: P4/mmm

# 3
SiBiSe2N | PBE | optimized geometry

a = 5.2638 Å, b = 5.2638 Å, c = 3.4083 Å
α = 90.00°, β = 90.00°, γ = 90.00°
Last column: nearest neighbours and their distance in Å.
Element x y z (fractional)
Se 0.0000 0.5000 0.0000  2 Si 2.63
Bi 0.5000 0.5000 0.5000  8 Se 3.14, 2 Bi 3.41
Se 0.5000 0.0000 0.0000  2 Si 2.63
N 0.0000 0.0000 0.5000  2 Si 1.70
Si 0.0000 0.0000 0.0000  2 N 1.70

- Formation energy from raw total energies: 0.11 eV per atom
- Crystal system: tetragonal
- Space-group type: P4/mmm

# 4
Nd6Dy12Mg | PBE | optimized geometry

a = 8.6985 Å, b = 8.6985 Å, c = 8.6985 Å
α = 97.41°, β = 97.41°, γ = 97.41°
Last column: nearest neighbours and their distance in Å.
Element x y z (fractional)
Nd 0.1345 0.1349 0.4083  4 Dy 3.35-3.51, 3 Nd 3.58-3.75, 1 Mg 3.59
Nd 0.1349 0.4083 0.1345  4 Dy 3.35-3.51, 3 Nd 3.58-3.75, 1 Mg 3.59
Dy 0.7381 0.2619 0.0003  4 Nd 3.35-3.51, 1 Mg 3.42, 6 Dy 3.42-3.58
Dy 0.5906 0.5907 0.1665  7 Dy 3.22-3.58
Nd 0.4083 0.1345 0.1349  4 Dy 3.35-3.51, 3 Nd 3.58-3.75, 1 Mg 3.59
Nd 0.8655 0.8651 0.5917  4 Dy 3.35-3.51, 3 Nd 3.58-3.75, 1 Mg 3.59
Dy 0.8335 0.4094 0.4093  7 Dy 3.22-3.58
Dy 0.0003 0.7381 0.2619  4 Nd 3.35-3.51, 1 Mg 3.42, 6 Dy 3.42-3.58
Dy 0.4094 0.4093 0.8335  7 Dy 3.22-3.58
Dy 0.7381 0.9997 0.2619  4 Nd 3.35-3.51, 1 Mg 3.42, 6 Dy 3.42-3.58
Dy 0.2619 0.0003 0.7381  4 Nd 3.35-3.51, 1 Mg 3.42, 6 Dy 3.42-3.58
Nd 0.5917 0.8655 0.8651  4 Dy 3.35-3.51, 3 Nd 3.58-3.75, 1 Mg 3.59
Dy 0.4093 0.8335 0.4094  7 Dy 3.22-3.58
Dy 0.1665 0.5906 0.5907  7 Dy 3.22-3.58
Mg 0.0000 0.0000 0.0000  6 Dy 3.42, 6 Nd 3.59
Nd 0.8651 0.5917 0.8655  4 Dy 3.35-3.51, 3 Nd 3.58-3.75, 1 Mg 3.59
Dy 0.5907 0.1665 0.5906  7 Dy 3.22-3.58
Dy 0.2619 0.7381 0.9997  4 Nd 3.35-3.51, 1 Mg 3.42, 6 Dy 3.42-3.58
Dy 0.9997 0.2619 0.7381  4 Nd 3.35-3.51, 1 Mg 3.42, 6 Dy 3.42-3.58

- Energy of formation from the pure elements: 131 meV per atom
- Crystal system: trigonal
- Space-group type: R-3m

# 5
Be3BiP | PBE | optimized geometry

a = 4.6692 Å, b = 4.6692 Å, c = 4.6692 Å
α = 90.00°, β = 90.00°, γ = 90.00°
Last column: nearest neighbours and their distance in Å.
Element x y z (fractional)
Be 0.5000 0.0000 0.0000  2 Bi 2.33
P 0.5000 0.5000 0.5000  12 Be 3.30
Be 0.0000 0.0000 0.5000  2 Bi 2.33
Bi 0.0000 0.0000 0.0000  6 Be 2.33
Be 0.0000 0.5000 0.0000  2 Bi 2.33

- Energy of formation from the pure elements: 1561 meV per atom
- Crystal system: cubic
- Space-group type: Pm-3m

# 6
KCdI | PBE | optimized geometry

a = 5.1242 Å, b = 5.1330 Å, c = 12.7329 Å
α = 112.18°, β = 112.34°, γ = 59.98°
Last column: nearest neighbours and their distance in Å.
Element x y z (fractional)
K 0.4606 0.9290 0.4492  3 I 3.50, 6 Cd 3.79-3.91
K 0.3501 0.8155 0.8057  6 I 3.46-3.71
Cd 0.6621 0.1355 0.2417  3 Cd 2.96-2.97
Cd 0.9863 0.4613 0.2282  3 Cd 2.96-2.97, 1 I 3.06
I 0.8961 0.3633 0.6118  6 K 3.50-3.71
I 0.7826 0.2479 0.9630  1 Cd 3.06

- Formation energy from raw total energies: -0.79 eV per atom
- Crystal system: triclinic
- Space-group type: P1

# 7
Sr2TaTc | PBE | optimized geometry

a = 5.4152 Å, b = 2.9681 Å, c = 6.4609 Å
α = 65.14°, β = 90.00°, γ = 90.00°
Last column: nearest neighbours and their distance in Å.
Element x y z (fractional)
Sr 0.0000 0.9942 0.9953  4 Sr 2.88-2.99
Sr 0.0000 0.5058 0.5047  4 Sr 2.88-2.99
Ta 0.5000 0.2500 0.2500  2 Tc 2.93, 2 Ta 2.97
Tc 0.5000 0.7500 0.7500  2 Ta 2.93, 2 Tc 2.97

- Energy of formation from the pure elements: 1111 meV per atom
- Crystal system: monoclinic
- Space-group type: P2/m

# 8
Lu2MgHg | PBE | optimized geometry

a = 5.1910 Å, b = 5.1910 Å, c = 5.1910 Å
α = 60.00°, β = 60.00°, γ = 60.00°
Last column: nearest neighbours and their distance in Å.
Element x y z (fractional)
Lu 0.2500 0.2500 0.2500  4 Hg 3.18, 4 Mg 3.18
Lu 0.7500 0.7500 0.7500  4 Hg 3.18, 4 Mg 3.18
Hg 0.0000 0.0000 0.0000  8 Lu 3.18
Mg 0.5000 0.5000 0.5000  8 Lu 3.18

- Energy of formation from the pure elements: -239 meV per atom
- Crystal system: cubic
- Space-group type: Fm-3m

# 9
MgBi2Pd | PBE | optimized geometry

a = 4.7751 Å, b = 4.7751 Å, c = 9.9699 Å
α = 76.14°, β = 76.14°, γ = 90.00°
Last column: nearest neighbours and their distance in Å.
Element x y z (fractional)
Mg 0.2500 0.7500 0.5000  4 Bi 2.94
Bi 0.6485 0.1250 0.2500  2 Pd 2.85, 2 Mg 2.94
Bi 0.1015 0.6250 0.2500  2 Pd 2.85, 2 Mg 2.94
Pd 0.7500 0.2500 0.5000  4 Bi 2.85
Bi 0.3750 0.3515 0.7500  2 Pd 2.85, 2 Mg 2.94
Mg 0.5000 0.5000 0.0000  4 Bi 2.94
Bi 0.8750 0.8985 0.7500  2 Pd 2.85, 2 Mg 2.94
Pd 0.0000 0.0000 0.0000  4 Bi 2.85

- Energy of formation from the pure elements: -77 meV per atom
- Crystal system: tetragonal
- Space-group type: I-42d

# 10
Ba3Tl2Cd2 | PBE | optimized geometry

a = 5.0732 Å, b = 6.9516 Å, c = 8.8020 Å
α = 107.18°, β = 90.00°, γ = 111.40°
Last column: nearest neighbours and their distance in Å.
Element x y z (fractional)
Cd 0.1911 0.3823 0.9362  2 Cd 2.99, 1 Tl 3.12
Ba 0.5000 0.0000 0.0000  6 Cd 3.71-3.86, 4 Tl 3.78
Ba 0.3270 0.6540 0.3646  3 Cd 3.62, 5 Tl 3.69-3.78
Cd 0.8089 0.6177 0.0638  2 Cd 2.99, 1 Tl 3.12
Tl 0.0356 0.0711 0.3305  1 Cd 3.12, 1 Tl 3.39
Ba 0.6730 0.3460 0.6354  3 Cd 3.62, 5 Tl 3.69-3.78
Tl 0.9644 0.9289 0.6695  1 Cd 3.12, 1 Tl 3.39

- Energy of formation from the pure elements: -333 meV per atom
- Crystal system: monoclinic
- Space-group type: C2/m

# 11
Y3TmC2 | PBE | optimized geometry

a = 6.2107 Å, b = 7.1625 Å, c = 7.1625 Å
α = 120.00°, β = 90.00°, γ = 90.00°
Last column: nearest neighbours and their distance in Å.
Element x y z (fractional)
Y 0.7809 0.1663 0.3326  3 C 2.47-2.48
Y 0.7809 0.6674 0.8337  3 C 2.47-2.48
Y 0.2191 0.3326 0.1663  3 C 2.47-2.48
C 0.0000 0.5000 0.5000  2 Tm 2.44, 4 Y 2.48
Tm 0.2081 0.3333 0.6667  3 C 2.44
C 0.0000 0.5000 0.0000  2 Tm 2.44, 4 Y 2.48
Y 0.7809 0.1663 0.8337  3 C 2.47-2.48
C 0.0000 0.0000 0.0000  6 Y 2.47
Y 0.2191 0.8337 0.1663  3 C 2.47-2.48
Tm 0.7919 0.6667 0.3333  3 C 2.44
C 0.0000 0.0000 0.5000  2 Tm 2.44, 4 Y 2.48
Y 0.2191 0.8337 0.6674  3 C 2.47-2.48

- Energy of formation from the pure elements: -278 meV per atom
- Crystal system: trigonal
- Space-group type: P-3m1

# 12
Y3P2 | PBE | optimized geometry

a = 3.9680 Å, b = 3.9680 Å, c = 9.8962 Å
α = 78.43°, β = 78.43°, γ = 60.00°
Last column: nearest neighbours and their distance in Å.
Element x y z (fractional)
P 0.3909 0.3909 0.8272  6 Y 2.75-2.83
Y 0.0000 0.0000 0.0000  6 P 2.83
Y 0.2233 0.2233 0.3301  3 P 2.75
Y 0.7767 0.7767 0.6699  3 P 2.75
P 0.6091 0.6091 0.1728  6 Y 2.75-2.83

- Energy of formation from the pure elements: -1260 meV per atom
- Crystal system: trigonal
- Space-group type: R-3m

# 13
Mg2HgBr | PBE | optimized geometry

a = 5.7757 Å, b = 5.7757 Å, c = 5.7757 Å
α = 143.52°, β = 113.52°, γ = 78.28°
Last column: nearest neighbours and their distance in Å.
Element x y z (fractional)
Mg 0.9980 0.9980 0.0000  2 Br 2.86, 2 Hg 2.89
Hg 0.2500 0.7500 0.5000  4 Mg 2.89
Mg 0.5020 0.5020 0.0000  2 Br 2.86, 2 Hg 2.89
Br 0.7500 0.2500 0.5000  4 Mg 2.86

- Formation energy from raw total energies: -0.31 eV per atom
- Crystal system: orthorhombic
- Space-group type: Immm

# 14
Nd4USe5 | PBE | optimized geometry

a = 4.1959 Å, b = 4.1959 Å, c = 15.1683 Å
α = 97.95°, β = 97.95°, γ = 90.00°
Last column: nearest neighbours and their distance in Å.
Element x y z (fractional)
U 0.0000 0.0000 0.0000  6 Se 2.89-2.97
Nd 0.6002 0.6002 0.2005  6 Se 2.97-3.02
Se 0.5000 0.5000 0.0000  4 U 2.97, 2 Nd 2.98
Se 0.0971 0.0971 0.1942  1 U 2.89, 5 Nd 2.94-2.97
Se 0.9029 0.9029 0.8058  1 U 2.89, 5 Nd 2.94-2.97
Nd 0.3998 0.3998 0.7995  6 Se 2.97-3.02
Nd 0.8042 0.8042 0.6083  6 Se 2.94-3.05
Se 0.7018 0.7018 0.4036  6 Nd 2.97-3.05
Se 0.2982 0.2982 0.5964  6 Nd 2.97-3.05
Nd 0.1958 0.1958 0.3917  6 Se 2.94-3.05

- Formation energy from raw total energies: -1.66 eV per atom
- Crystal system: tetragonal
- Space-group type: I4/mmm

# 15
ErSi2Os | PBE | optimized geometry

a = 4.1723 Å, b = 6.5212 Å, c = 9.9492 Å
α = 90.00°, β = 90.00°, γ = 90.00°
Last column: nearest neighbours and their distance in Å.
Element x y z (fractional)
Si 0.7500 0.7484 0.0227  3 Os 2.44-2.52, 1 Si 2.61
Si 0.2500 0.7516 0.5227  3 Os 2.44-2.52, 1 Si 2.61
Er 0.2500 0.2275 0.6838  7 Si 2.88-2.93, 3 Os 2.94-3.07
Si 0.2500 0.2516 0.9773  3 Os 2.44-2.52, 1 Si 2.61
Er 0.7500 0.7725 0.3162  7 Si 2.88-2.93, 3 Os 2.94-3.07
Os 0.7500 0.9080 0.5982  5 Si 2.44-2.53
Si 0.7500 0.5336 0.6617  2 Os 2.52-2.53, 1 Si 2.61
Si 0.7500 0.2484 0.4773  3 Os 2.44-2.52, 1 Si 2.61
Si 0.2500 0.4664 0.3383  2 Os 2.52-2.53, 1 Si 2.61
Os 0.2500 0.5920 0.0982  5 Si 2.44-2.53
Si 0.7500 0.0336 0.8383  2 Os 2.52-2.53, 1 Si 2.61
Os 0.7500 0.4080 0.9018  5 Si 2.44-2.53
Er 0.2500 0.7275 0.8162  7 Si 2.88-2.93, 3 Os 2.94-3.07
Si 0.2500 0.9664 0.1617  2 Os 2.52-2.53, 1 Si 2.61
Os 0.2500 0.0920 0.4018  5 Si 2.44-2.53
Er 0.7500 0.2725 0.1838  7 Si 2.88-2.93, 3 Os 2.94-3.07

- Formation energy from raw total energies: -0.61 eV per atom
- Crystal system: orthorhombic
- Space-group type: Pnma

# 16
Cu2SiH | PBE | optimized geometry

a = 3.9547 Å, b = 3.9547 Å, c = 3.9547 Å
α = 60.00°, β = 60.00°, γ = 60.00°
Last column: nearest neighbours and their distance in Å.
Element x y z (fractional)
Si 0.5000 0.5000 0.5000  8 Cu 2.42
H 0.0000 0.0000 0.0000  8 Cu 2.42
Cu 0.2500 0.2500 0.2500  4 Si 2.42, 4 H 2.42
Cu 0.7500 0.7500 0.7500  4 H 2.42, 4 Si 2.42

- Crystal system: cubic
- E_tot: -3.755 eV/atom
- Space-group type: Fm-3m

# 17
Ti2P2Pb | PBE | optimized geometry

a = 3.5391 Å, b = 3.5391 Å, c = 7.3562 Å
α = 76.08°, β = 76.08°, γ = 90.00°
Last column: nearest neighbours and their distance in Å.
Element x y z (fractional)
Ti 0.6214 0.6214 0.7572  4 P 2.51
Pb 0.0000 0.0000 0.0000  8 Ti 3.01
P 0.7500 0.2500 0.5000  4 P 2.50, 4 Ti 2.51
Ti 0.3786 0.3786 0.2428  4 P 2.51
P 0.2500 0.7500 0.5000  4 P 2.50, 4 Ti 2.51

- Energy of formation from the pure elements: -477 meV per atom
- Crystal system: tetragonal
- Space-group type: I4/mmm

# 18
ZnNi4W | PBE | optimized geometry

a = 4.6881 Å, b = 4.6881 Å, c = 4.6881 Å
α = 60.00°, β = 60.00°, γ = 60.00°
Last column: nearest neighbours and their distance in Å.
Element x y z (fractional)
Ni 0.3752 0.3752 0.8745  6 Ni 2.34-2.35
W 0.7500 0.7500 0.7500  12 Ni 2.75, 4 Zn 2.87
Ni 0.3752 0.3752 0.3752  6 Ni 2.34-2.35
Ni 0.3752 0.8745 0.3752  6 Ni 2.34-2.35
Zn 0.0000 0.0000 0.0000  12 Ni 2.75, 4 W 2.87
Ni 0.8745 0.3752 0.3752  6 Ni 2.34-2.35

- Energy of formation from the pure elements: 43 meV per atom
- Crystal system: cubic
- Space-group type: F-43m

# 19
KSrSi2 | PBE | optimized geometry

a = 5.4401 Å, b = 5.4401 Å, c = 3.8009 Å
α = 90.00°, β = 90.00°, γ = 90.00°
Last column: nearest neighbours and their distance in Å.
Element x y z (fractional)
Sr 0.5000 0.0000 0.5000  8 Si 3.32
Si 0.5000 0.5000 0.0000  4 K 3.32, 4 Sr 3.32
Si 0.0000 0.0000 0.0000  4 K 3.32, 4 Sr 3.32
K 0.0000 0.5000 0.5000  8 Si 3.32

- Formation energy from raw total energies: 0.30 eV per atom
- Crystal system: tetragonal
- Space-group type: P4/mmm

# 20
Zr2Re3Ni | PBE | optimized geometry

a = 5.1745 Å, b = 5.1745 Å, c = 5.2875 Å
α = 90.03°, β = 119.30°, γ = 119.96°
Last column: nearest neighbours and their distance in Å.
Element x y z (fractional)
Re 0.0000 0.0000 0.5000  4 Re 2.59, 2 Ni 2.64
Re 0.5000 0.0000 0.5000  4 Re 2.59, 2 Ni 2.64
Zr 0.7547 0.3775 0.1322  3 Ni 3.04, 9 Re 3.04-3.14, 4 Zr 3.20-3.21
Re 0.5000 0.5000 0.5000  4 Re 2.59, 2 Ni 2.64
Zr 0.2453 0.6225 0.8678  3 Ni 3.04, 9 Re 3.04-3.14, 4 Zr 3.20-3.21
Ni 0.0000 0.0000 0.0000  6 Re 2.64

- Energy of formation from the pure elements: -369 meV per atom
- Crystal system: trigonal
- Space-group type: R-3m